# 1
VASP calculation (SCAN) on a crystal of Zn2SbAu relaxed with PBEsol.

Cell: 3.0347 3.0347 7.8719 Å, 90.00 90.00 90.00°
Fractional coordinates of all 4 atoms:
Zn1 0.0000 0.0000 0.0000
Zn2 0.5000 0.5000 0.1986
Sb1 0.5000 0.5000 0.6976
Au1 0.0000 0.0000 0.4087

Computed properties:
For the total magnetization, the calculation gives 0.00 μB/cell. The total energy is -132.99 eV for the cell shown.

# 2
VASP calculation (SCAN) on a crystal of ZnSb2Au relaxed with PBEsol.

Cell: 8.0098 3.8632 6.1090 Å, 90.00 109.39 90.00°
Fractional coordinates of all 8 atoms:
Zn1 0.0000 0.0000 0.0000
Zn2 0.5000 0.5000 0.0000
Sb1 0.2703 0.5000 0.2288
Sb2 0.4944 0.0000 0.5957
Sb3 0.7703 0.0000 0.2288
Sb4 0.9944 0.5000 0.5957
Au1 0.2562 0.0000 0.8292
Au2 0.7562 0.5000 0.8292

Computed properties:
For the total magnetization, the calculation gives 0.00 μB/cell. The total energy is -314.77 eV for the cell shown.

# 3
VASP calculation (SCAN) on a crystal of ZnSb2Au relaxed with PBEsol.

Cell: 4.4732 5.2728 7.4213 Å, 90.00 90.00 90.00°
Fractional coordinates of all 8 atoms:
Zn1 0.0000 0.0000 0.0000
Zn2 0.5000 0.5000 0.0000
Sb1 0.0000 0.0000 0.4057
Sb2 0.0000 0.5000 0.7776
Sb3 0.5000 0.0000 0.7776
Sb4 0.5000 0.5000 0.4057
Au1 0.0000 0.5000 0.1770
Au2 0.5000 0.0000 0.1770

Computed properties:
For the total magnetization, the calculation gives 0.00 μB/cell. The total energy is -313.73 eV for the cell shown.

# 4
VASP calculation (SCAN) on a crystal of Zn2SbAu relaxed with PBEsol.

Cell: 3.2206 3.2206 24.9142 Å, 90.00 90.00 120.00°
Fractional coordinates of all 12 atoms:
Zn1 0.0000 0.0000 0.0000
Zn2 0.0000 0.0000 0.2601
Zn3 0.3333 0.6667 0.6667
Zn4 0.3333 0.6667 0.9267
Zn5 0.6667 0.3333 0.3333
Zn6 0.6667 0.3333 0.5934
Sb1 0.0000 0.0000 0.5001
Sb2 0.3333 0.6667 0.1668
Sb3 0.6667 0.3333 0.8335
Au1 0.0000 0.0000 0.7411
Au2 0.3333 0.6667 0.4078
Au3 0.6667 0.3333 0.0745

Computed properties:
For the total magnetization, the calculation gives 0.00 μB/cell. The total energy is -399.02 eV for the cell shown.

Q: What is the total magnetization in the third record?
A: 0.00 μB/cell